1.
VASP calculation (meta-GGA SCAN) on a crystal of KLi2Sb2 relaxed with PBEsol.

Cell lengths 4.760, 4.760, 11.576 Å; angles 90.00, 90.00, 90.00 degrees
Sites, in units of the cell vectors:
K: 0.000 0.000 0.000
K: 0.500 0.500 0.500
Li: 0.000 0.500 0.250
Li: 0.000 0.500 0.750
Li: 0.500 0.000 0.250
Li: 0.500 0.000 0.750
Sb: 0.000 0.000 0.380
Sb: 0.000 0.000 0.620
Sb: 0.500 0.500 0.120
Sb: 0.500 0.500 0.880

Summary:
Formation energy from raw total energies: -0.531 eV/atom
Magnetic moment: 0.00 μB per cell
Space-group type: No. 139
Calculated total energy: -18.0574 eV per atom

2.
VASP calculation (meta-GGA SCAN) on a crystal of KLiSb relaxed with PBEsol.

Cell lengths 7.605, 7.605, 7.605 Å; angles 90.00, 90.00, 90.00 degrees
Sites, in units of the cell vectors:
K: 0.000 0.000 0.000
K: 0.000 0.500 0.500
K: 0.500 0.000 0.500
K: 0.500 0.500 0.000
Li: 0.250 0.250 0.750
Li: 0.250 0.750 0.250
Li: 0.750 0.250 0.250
Li: 0.750 0.750 0.750
Sb: 0.250 0.250 0.250
Sb: 0.250 0.750 0.750
Sb: 0.750 0.250 0.750
Sb: 0.750 0.750 0.250

Summary:
Formation energy from raw total energies: 0.150 eV/atom
Magnetic moment: 4.00 μB per cell
Space-group type: No. 216
Calculated total energy: -15.8426 eV per atom

3.
VASP calculation (meta-GGA SCAN) on a crystal of KLi2Sb relaxed with PBEsol.

Cell lengths 7.427, 7.427, 7.427 Å; angles 90.00, 90.00, 90.00 degrees
Sites, in units of the cell vectors:
K: 0.000 0.000 0.000
K: 0.000 0.500 0.500
K: 0.500 0.000 0.500
K: 0.500 0.500 0.000
Li: 0.000 0.000 0.500
Li: 0.000 0.500 0.000
Li: 0.250 0.250 0.250
Li: 0.250 0.750 0.750
Li: 0.500 0.000 0.000
Li: 0.500 0.500 0.500
Li: 0.750 0.250 0.750
Li: 0.750 0.750 0.250
Sb: 0.250 0.250 0.750
Sb: 0.250 0.750 0.250
Sb: 0.750 0.250 0.250
Sb: 0.750 0.750 0.750

Summary:
Formation energy from raw total energies: -0.342 eV/atom
Magnetic moment: 0.00 μB per cell
Space-group type: No. 216
Calculated total energy: -12.9348 eV per atom